LaLuAl2 (PBE-GGA, relaxed); SG = No. 123; crystal system = tetragonal
1.0
3.654 0.000 0.000
0.000 3.654 0.000
0.000 0.000 7.371
La Lu Al
1 1 2
Direct
0.000 0.000 0.000 La
0.000 0.000 0.500 Lu
0.500 0.500 0.280 Al
0.500 0.500 0.720 Al

***

LaLuAl (PBE-GGA, relaxed); distance to the lowest polymorph of the same formula = 0.000 eV/atom; SG = No. 107; crystal system = tetragonal
1.0
-1.753 1.753 6.804
1.753 -1.753 6.804
1.753 1.753 -6.804
La Lu Al
1 1 1
Direct
0.000 0.000 0.000 La
0.293 0.293 0.000 Lu
0.659 0.659 0.000 Al

***

LaLuAl (PBE-GGA, relaxed); distance to the lowest polymorph of the same formula = 0.079 eV/atom; SG = No. 156; crystal system = trigonal
1.0
5.134 0.000 0.000
-2.567 4.446 0.000
0.000 0.000 3.715
La Lu Al
1 1 1
Direct
0.000 0.000 0.000 La
0.333 0.667 0.457 Lu
0.667 0.333 0.589 Al

***

LaLu2Al (PBE-GGA, relaxed); distance to the lowest polymorph of the same formula = 0.249 eV/atom; SG = No. 166; crystal system = trigonal
1.0
1.707 0.985 11.365
-1.707 0.985 11.365
0.000 -1.971 11.365
La Lu Al
1 2 1
Direct
0.000 0.000 0.000 La
0.100 0.100 0.100 Lu
0.900 0.900 0.900 Lu
0.500 0.500 0.500 Al

***

LaLu2Al (PBE-GGA, relaxed); distance to the lowest polymorph of the same formula = 0.000 eV/atom; SG = No. 123; crystal system = tetragonal
1.0
3.500 0.000 0.000
0.000 3.500 0.000
0.000 0.000 9.059
La Lu Al
1 2 1
Direct
0.000 0.000 0.000 La
0.500 0.500 0.297 Lu
0.500 0.500 0.703 Lu
0.000 0.000 0.500 Al

***

LaLu2Al (PBE-GGA, relaxed); distance to the lowest polymorph of the same formula = 0.048 eV/atom; SG = No. 123; crystal system = tetragonal
1.0
4.793 0.000 0.000
0.000 4.793 0.000
0.000 0.000 4.777
La Lu Al
1 2 1
Direct
0.000 0.000 0.000 La
0.000 0.500 0.500 Lu
0.500 0.000 0.500 Lu
0.500 0.500 0.000 Al

***

LaLuMgAl (PBE-GGA, relaxed); SG = No. 216; crystal system = cubic
1.0
0.000 3.738 3.738
3.738 0.000 3.738
3.738 3.738 0.000
La Lu Mg Al
1 1 1 1
Direct
0.000 0.000 0.000 La
0.500 0.500 0.500 Lu
0.750 0.750 0.750 Mg
0.250 0.250 0.250 Al

***

LaLuMnAl (PBE-GGA, relaxed); SG = No. 216; crystal system = cubic
1.0
0.000 3.643 3.643
3.643 0.000 3.643
3.643 3.643 0.000
La Lu Mn Al
1 1 1 1
Direct
0.000 0.000 0.000 La
0.500 0.500 0.500 Lu
0.250 0.250 0.250 Mn
0.750 0.750 0.750 Al

***

NaLaLuAl (PBE-GGA, relaxed); SG = No. 216; crystal system = cubic
1.0
0.000 3.798 3.798
3.798 0.000 3.798
3.798 3.798 0.000
Na La Lu Al
1 1 1 1
Direct
0.000 0.000 0.000 Na
0.750 0.750 0.750 La
0.250 0.250 0.250 Lu
0.500 0.500 0.500 Al

***

LaNdLuAl (PBE-GGA, relaxed); SG = No. 216; crystal system = cubic
1.0
0.000 3.867 3.867
3.867 0.000 3.867
3.867 3.867 0.000
La Nd Lu Al
1 1 1 1
Direct
0.000 0.000 0.000 La
0.500 0.500 0.500 Nd
0.250 0.250 0.250 Lu
0.750 0.750 0.750 Al

***

LaLuAlPb (PBE-GGA, relaxed); SG = No. 216; crystal system = cubic
1.0
0.000 3.807 3.807
3.807 0.000 3.807
3.807 3.807 0.000
La Lu Al Pb
1 1 1 1
Direct
0.000 0.000 0.000 La
0.500 0.500 0.500 Lu
0.250 0.250 0.250 Al
0.750 0.750 0.750 Pb

***

LaLuAlPd (PBE-GGA, relaxed); SG = No. 216; crystal system = cubic
1.0
0.000 3.636 3.636
3.636 0.000 3.636
3.636 3.636 0.000
La Lu Al Pd
1 1 1 1
Direct
0.000 0.000 0.000 La
0.500 0.500 0.500 Lu
0.750 0.750 0.750 Al
0.250 0.250 0.250 Pd

***

Number 1: E_form -0.378 eV per atom, spin magnetization 0.00 Bohr magnetons per cell, theoretical density 6.2 g/cm3. Number 2: E_form -0.218 eV per atom, spin magnetization 0.00 Bohr magnetons per cell, theoretical density 6.8 g/cm3. Number 3: E_form -0.140 eV per atom, spin magnetization 0.00 Bohr magnetons per cell, theoretical density 6.7 g/cm3. Number 4: E_form 0.055 eV per atom, spin magnetization 0.00 Bohr magnetons per cell, theoretical density 7.5 g/cm3. Number 5: E_form -0.193 eV per atom, spin magnetization 0.00 Bohr magnetons per cell, theoretical density 7.7 g/cm3. Number 6: E_form -0.145 eV per atom, spin magnetization 0.00 Bohr magnetons per cell, theoretical density 7.8 g/cm3. Number 7: E_form -0.245 eV per atom, spin magnetization 0.00 Bohr magnetons per cell, theoretical density 5.8 g/cm3. Number 8: E_form -0.036 eV per atom, spin magnetization 3.25 Bohr magnetons per cell, theoretical density 6.8 g/cm3. Number 9: E_form -0.035 eV per atom, spin magnetization 0.00 Bohr magnetons per cell, theoretical density 5.5 g/cm3. Number 10: E_form -0.082 eV per atom, spin magnetization 0.04 Bohr magnetons per cell, theoretical density 7.0 g/cm3. Number 11: E_form -0.332 eV per atom, spin magnetization 0.00 Bohr magnetons per cell, theoretical density 8.2 g/cm3. Number 12: E_form -0.524 eV per atom, spin magnetization 0.00 Bohr magnetons per cell, theoretical density 7.7 g/cm3.